This record from the Alexandria database describes a relaxed KHoAgF5 crystal. The functional is GGA-PBE.

Cell and atoms, written as POSCAR:
```
KHoAgF5
1.0
6.462 -0.473 0.240
-2.339 6.042 0.240
-1.382 -1.867 7.780
F Ho Ag K
10 2 2 2
Cartesian
-1.984 5.057 2.185 F
1.766 1.226 0.335 F
3.913 -0.770 3.242 F
-1.172 4.472 5.018 F
0.975 2.476 7.925 F
-2.569 2.584 7.132 F
-0.034 1.113 4.225 F
4.725 -1.355 6.075 F
5.310 1.118 1.128 F
2.774 2.589 4.035 F
-0.691 -0.933 3.890 Ho
0.000 0.000 0.000 Ho
3.197 1.221 2.185 Ag
-0.456 2.481 6.075 Ag
0.337 3.338 2.185 K
2.403 0.364 6.075 K
```

Properties
- volume (Å³ per cell) = 301.2
- size of the total moment (μB per cell) = 0.2
- E_form (uncorrected) (eV per atom) = -2.996
- DOS(E_F) (states/eV/f.u.) = 0.00
- total DFT energy (no corrections) (eV/f.u.) = -41.8